# 1
Density functional theory data (GGA-PBE) for a geometry-optimized In5Bi2Pb4 structure.

Calculated values
formation energy from the elements = 0.021 eV/atom
calculated volume = 30.124 Å³ per atom
DOS(E_F) = 5.45 states/eV/f.u.
space group = P-1 (2)
magnetization = 0.0000 μB per atom

a b c (Å): 4.7909 8.2418 10.3515
angles (deg): 122.30 103.65 90.33
Positions (direct):
In 0.2338 0.8105 0.4612
In 0.1329 0.1011 0.2638
In 0.7662 0.1895 0.5388
In 0.8671 0.8989 0.7362
In 0.5000 0.0000 0.0000
Pb 0.9652 0.6399 0.9247
Pb 0.0348 0.3601 0.0753
Pb 0.3175 0.5323 0.6367
Pb 0.6825 0.4677 0.3633
Bi 0.3871 0.2379 0.7883
Bi 0.6129 0.7621 0.2117

---

# 2
Density functional theory data (GGA-PBE) for a geometry-optimized Sr6PSe4 structure.

Calculated values
calculated volume = 32.451 Å³ per atom
DOS(E_F) = 2.35 states/eV/f.u.
E_form (uncorrected) = -1688 meV/atom
space group = Cmcm (63)
magnetization = 0.0812 μB per atom

a b c (Å): 4.3948 7.5817 22.3872
angles (deg): 90.00 90.00 106.85
Each line ends with the local moment (μB).
Positions (direct):
Sr 0.0509 0.1018 0.1705  0.04
Sr 0.7756 0.5513 0.4149  0.01
Sr 0.2244 0.4487 0.9149  0.01
Sr 0.7756 0.5513 0.0851  0.01
Sr 0.6898 0.3796 0.7500  0.05
Sr 0.9491 0.8982 0.6705  0.04
Sr 0.5000 0.0000 0.5000  0.01
Sr 0.9491 0.8982 0.8295  0.04
Sr 0.0509 0.1018 0.3295  0.04
Sr 0.2244 0.4487 0.5851  0.01
Sr 0.5000 0.0000 0.0000  0.01
Sr 0.3102 0.6204 0.2500  0.05
Se 0.4093 0.8186 0.1262  0.01
Se 0.8618 0.7237 0.9560  0.00
Se 0.8618 0.7237 0.5440  0.00
Se 0.1382 0.2763 0.4560  0.00
Se 0.5907 0.1814 0.6262  0.01
Se 0.5907 0.1814 0.8738  0.01
Se 0.1382 0.2763 0.0440  0.00
Se 0.4093 0.8186 0.3738  0.01
P 0.3414 0.6829 0.7500  0.00
P 0.6586 0.3171 0.2500  0.00